Record 1
GGA+U MoSO6, optimized geometry; M_tot = 0.000 μB per atom; energy above the most stable polymorph in this dataset = 0 meV/atom
1.0
8.832 0.000 -0.021
0.000 12.348 0.000
-3.460 -6.174 13.358
O S Mo
72 12 12
Cartesian
7.471 1.848 1.829 O
7.137 4.959 5.634 O
1.399 1.221 12.669 O
-1.764 1.215 7.703 O
-2.098 4.326 11.509 O
3.973 4.953 0.669 O
0.998 3.503 11.081 O
5.515 3.449 6.634 O
5.049 6.583 11.770 O
-1.046 1.566 11.643 O
2.496 1.175 2.030 O
5.856 1.148 5.071 O
4.675 -1.265 3.877 O
4.739 0.409 1.557 O
4.967 0.419 10.458 O
8.095 10.379 0.024 O
0.112 -2.000 8.711 O
1.440 -1.148 5.081 O
-2.723 -4.205 13.314 O
4.446 2.675 11.036 O
5.343 8.849 2.291 O
-1.721 -1.267 10.130 O
0.551 -0.419 10.468 O
-1.008 -1.607 6.058 O
2.002 7.740 1.705 O
2.652 -1.215 7.693 O
2.318 -4.326 11.498 O
3.408 1.607 6.047 O
-0.041 9.677 2.267 O
6.380 7.781 7.280 O
0.405 5.755 2.880 O
4.528 2.000 8.701 O
5.414 -3.503 11.070 O
6.912 11.173 2.020 O
0.844 4.174 4.637 O
5.260 8.174 4.626 O
-3.017 -1.221 12.679 O
-0.483 5.026 8.266 O
0.030 -2.675 11.047 O
0.323 -0.409 1.568 O
6.418 4.608 1.694 O
0.927 3.499 2.301 O
-1.540 -4.999 11.318 O
0.515 0.481 7.221 O
8.389 7.395 0.658 O
4.931 -0.482 7.211 O
1.693 4.205 13.303 O
-0.142 2.725 6.703 O
2.695 1.267 10.120 O
3.370 -1.566 11.633 O
2.876 4.999 11.307 O
3.679 1.969 0.034 O
1.099 8.899 6.645 O
0.836 8.207 4.333 O
7.093 7.441 3.207 O
0.633 5.765 11.780 O
4.821 6.593 2.869 O
0.259 1.265 3.887 O
3.933 7.322 8.256 O
2.721 7.389 5.644 O
4.375 2.671 2.257 O
4.274 -2.725 6.692 O
4.857 5.692 6.116 O
1.964 4.567 7.290 O
0.441 6.655 6.127 O
0.121 2.033 9.015 O
2.677 4.907 3.218 O
0.697 7.439 9.461 O
4.537 -2.033 9.005 O
3.055 10.500 1.839 O
5.252 4.141 4.322 O
5.113 4.909 9.450 O
8.192 10.787 1.417 S
1.260 4.584 3.297 S
4.057 -1.613 7.689 S
-0.359 1.613 7.700 S
4.113 1.590 10.041 S
5.732 4.561 5.637 S
-2.820 -4.613 11.920 S
-0.303 -1.590 10.051 S
1.596 4.613 11.910 S
3.776 1.561 1.428 S
1.316 7.787 5.648 S
5.676 7.764 3.286 S
4.695 10.793 2.198 Mo
0.279 1.555 2.209 Mo
0.338 4.732 6.803 Mo
0.677 -4.619 11.139 Mo
4.754 7.616 6.793 Mo
5.093 4.619 11.128 Mo
5.010 -1.491 11.181 Mo
5.034 1.442 6.534 Mo
0.362 7.665 2.157 Mo
4.778 4.683 2.146 Mo
0.594 1.491 11.191 Mo
0.618 -1.442 6.544 Mo


Record 2
GGA+U Mo2SO, optimized geometry; M_tot = 2.000 μB per atom; energy above the most stable polymorph in this dataset = 0 meV/atom
1.0
-1.203 4.153 -4.745
-4.353 -4.042 -2.434
-5.301 1.582 -1.614
Mo S O
4 2 2
Cartesian
-6.234 1.065 -4.001 Mo
-2.572 2.318 -3.483 Mo
-8.661 1.446 -7.395 Mo
-4.244 -1.444 -2.709 Mo
0.000 0.000 0.000 S
-4.640 2.895 -4.975 S
-2.778 0.055 -3.590 O
-6.215 -1.202 -3.819 O


Record 3
GGA+U Mo2S2O, optimized geometry; M_tot = 1.200 μB per atom; energy above the most stable polymorph in this dataset = 0 meV/atom
1.0
-4.189 -5.707 -1.148
1.500 -2.424 6.581
-2.628 1.684 1.219
O Mo S
2 4 4
Cartesian
0.000 0.000 0.000 O
-1.344 -4.066 2.716 O
-1.031 -1.782 4.843 Mo
-2.896 -5.006 5.275 Mo
-2.421 -1.442 1.377 Mo
-4.286 -4.666 1.809 Mo
-0.048 -1.673 2.206 S
-2.472 -3.995 0.188 S
-2.641 -6.458 3.227 S
-0.217 -4.137 5.244 S


Record 4
GGA+U SrMoSO2, optimized geometry; electronic total energy = -31.9 eV/f.u.; M_tot = 0.400 μB per atom
1.0
-0.178 0.669 -3.990
-2.027 -3.472 -0.491
-4.646 2.620 0.647
Sr O Mo S
1 2 1 1
Cartesian
-4.047 0.259 -1.831 Sr
-6.530 -0.648 -1.872 O
-5.428 0.754 0.369 O
-2.053 -3.457 -0.488 Mo
-2.137 1.205 0.297 S


Record 5
GGA+U SrMoS2O8, optimized geometry; electronic total energy = -76.6 eV/f.u.; M_tot = 0.167 μB per atom
1.0
5.248 0.000 0.000
-2.624 4.545 0.000
0.000 0.000 7.376
O Sr S Mo
8 1 2 1
Cartesian
1.371 0.853 2.130 O
-0.053 1.614 5.246 O
2.677 2.931 2.130 O
2.624 1.515 0.188 O
1.253 3.692 5.246 O
0.000 3.030 7.188 O
3.824 0.761 2.130 O
-1.200 3.784 5.246 O
0.000 0.000 0.000 Sr
2.624 1.515 1.666 S
0.000 3.030 5.710 S
0.000 0.000 3.688 Mo


Record 6
GGA+U YMo2SO, optimized geometry; electronic total energy = -25.7 eV/f.u.; M_tot = 0.554 μB per atom
1.0
-2.906 0.854 -3.159
-2.924 -4.349 1.514
-2.282 2.500 2.775
Mo S O Y
2 1 1 1
Cartesian
-1.453 0.427 -1.580 Mo
-1.141 1.250 1.387 Mo
0.000 0.000 0.000 S
-4.056 -0.497 0.565 O
-1.462 -2.174 0.757 Y


Record 7
GGA+U SbMoO2, optimized geometry; electronic total energy = -25.9 eV/f.u.; M_tot = 0.746 μB per atom
1.0
1.917 0.000 6.626
-0.958 1.660 6.626
-0.958 -1.660 6.626
Sb O Mo
1 2 1
Cartesian
0.000 0.000 0.000 Sb
0.000 0.000 2.287 O
0.000 0.000 17.590 O
0.000 0.000 9.939 Mo


Record 8
GGA+U SbMoO2, optimized geometry; electronic total energy = -22.3 eV/f.u.; M_tot = 0.086 μB per atom
1.0
3.855 -1.477 6.441
3.701 -4.239 5.183
5.877 -2.298 4.326
Mo O Sb
1 2 1
Cartesian
0.000 0.000 0.000 Mo
12.308 -7.344 14.614 O
1.125 -0.671 1.336 O
6.717 -4.008 7.975 Sb